Cs3BeCo: optimized geometry, PBE.

## Properties
Crystal system: cubic
Total DFT energy (no corrections), eV/atom: -1.42
Space group: Pm-3m (221)
V, Å³/f.u.: 239.01

```
Cs3BeCo
1.0
6.206 0.000 0.000
0.000 6.206 0.000
0.000 0.000 6.206
Cs Co Be
3 1 1
Direct
0.000 0.000 0.500 Cs
0.000 0.500 0.000 Cs
0.500 0.000 0.000 Cs
0.000 0.000 0.000 Co
0.500 0.500 0.500 Be
```